No. 1
# Y4CdPN2

Y4CdPN2 after structural relaxation (PBE, OQMD via LeMat-Bulk).

Unit cell a=3.612 b=3.612 c=14.192 alpha=90.00 beta=90.00 gamma=120.00
Atoms (fractional coordinates):
Cd  0.000  0.000  0.500
N  0.667  0.333  0.229
N  0.667  0.333  0.771
P  0.333  0.667  0.000
Y  0.000  0.000  0.128
Y  0.333  0.667  0.320
Y  0.333  0.667  0.680
Y  0.000  0.000  0.872

Results
- VASP energy (eV/cell) = -58.072

---

No. 2
# Hf4GeSbN2

Hf4GeSbN2 after structural relaxation (PBE, OQMD via LeMat-Bulk).

Unit cell a=3.317 b=3.317 c=13.437 alpha=90.00 beta=90.00 gamma=120.00
Atoms (fractional coordinates):
Ge  0.667  0.333  0.000
Hf  0.000  0.000  0.154
Hf  0.667  0.333  0.334
Hf  0.667  0.333  0.666
Hf  0.000  0.000  0.846
N  0.333  0.667  0.243
N  0.333  0.667  0.757
Sb  0.000  0.000  0.500

Results
- VASP energy (eV/cell) = -73.596

---

No. 3
# ZrGeW2

ZrGeW2 after structural relaxation (PBE, OQMD via LeMat-Bulk).

Unit cell a=4.593 b=4.593 c=4.593 alpha=60.00 beta=60.00 gamma=60.00
Atoms (fractional coordinates):
Ge  0.500  0.500  0.500
W  0.000  0.000  0.000
W  0.750  0.750  0.750
Zr  0.250  0.250  0.250

Results
- VASP energy (eV/cell) = -38.333

---

No. 4
# SrSm2

SrSm2 after structural relaxation (PBE, OQMD via LeMat-Bulk).

Unit cell a=7.021 b=7.021 c=7.021 alpha=60.00 beta=60.00 gamma=60.00
Atoms (fractional coordinates):
Sm  0.625  0.625  0.125
Sm  0.625  0.125  0.625
Sm  0.125  0.625  0.625
Sm  0.625  0.625  0.625
Sr  0.000  0.000  0.000
Sr  0.250  0.250  0.250

Results
- E above lowest polymorph (eV per formula unit) = 0.00

---

No. 5
# ZnCd2Ga

ZnCd2Ga after structural relaxation (PBE, OQMD via LeMat-Bulk).

Unit cell a=4.860 b=4.860 c=4.860 alpha=60.00 beta=60.00 gamma=60.00
Atoms (fractional coordinates):
Cd  0.000  0.000  0.000
Cd  0.750  0.750  0.750
Ga  0.500  0.500  0.500
Zn  0.250  0.250  0.250

Results
- VASP energy (eV/cell) = -5.645

---

No. 6
# KH3Au

KH3Au after structural relaxation (PBE, OQMD via LeMat-Bulk).

Unit cell a=5.843 b=5.843 c=5.843 alpha=120.94 beta=120.94 gamma=88.39
Atoms (fractional coordinates):
Au  0.000  0.000  0.000
Au  0.500  0.500  0.000
H  0.793  0.207  0.000
H  0.299  0.299  0.000
H  0.701  0.701  0.000
H  0.207  0.793  0.000
H  0.207  0.207  0.414
H  0.793  0.793  0.586
K  0.750  0.250  0.500
K  0.250  0.750  0.500

Results
- E above lowest polymorph (eV per formula unit) = 0.00

---

No. 7
# Ga3NiC

Ga3NiC after structural relaxation (PBE, OQMD via LeMat-Bulk).

Unit cell a=4.184 b=4.184 c=4.184 alpha=90.00 beta=90.00 gamma=90.00
Atoms (fractional coordinates):
C  0.500  0.500  0.500
Ga  0.500  0.500  0.000
Ga  0.500  0.000  0.500
Ga  0.000  0.500  0.500
Ni  0.000  0.000  0.000

Results
- VASP energy (eV/cell) = -19.946

---

No. 8
# Hg3S2I2

Hg3S2I2 after structural relaxation (PBE, OQMD via LeMat-Bulk).

Unit cell a=9.714 b=9.993 c=11.941 alpha=114.74 beta=114.00 gamma=90.00
Atoms (fractional coordinates):
Hg  0.350  0.350  0.200
Hg  0.350  0.850  0.200
Hg  0.072  0.116  0.233
Hg  0.661  0.616  0.233
Hg  0.748  0.021  0.500
Hg  0.748  0.479  0.500
Hg  0.252  0.521  0.500
Hg  0.252  0.979  0.500
Hg  0.339  0.384  0.767
Hg  0.928  0.884  0.767
Hg  0.650  0.150  0.800
Hg  0.650  0.650  0.800
I  0.259  0.000  0.000
I  0.241  0.500  0.000
I  0.519  0.250  0.500
I  0.994  0.250  0.500
I  0.006  0.750  0.500
I  0.481  0.750  0.500
I  0.759  0.500  0.000
I  0.741  0.000  0.000
S  0.123  0.367  0.249
S  0.625  0.381  0.249
S  0.625  0.867  0.249
S  0.123  0.881  0.249
S  0.877  0.119  0.751
S  0.375  0.133  0.751
S  0.375  0.619  0.751
S  0.877  0.633  0.751

Results
- E above lowest polymorph (eV per formula unit) = 0.00

---

No. 9
# Ho2Mo

Ho2Mo after structural relaxation (PBE, OQMD via LeMat-Bulk).

Unit cell a=5.887 b=5.887 c=5.887 alpha=60.00 beta=60.00 gamma=60.00
Atoms (fractional coordinates):
Ho  0.625  0.625  0.125
Ho  0.625  0.125  0.625
Ho  0.125  0.625  0.625
Ho  0.625  0.625  0.625
Mo  0.000  0.000  0.000
Mo  0.250  0.250  0.250

Results
- ΔE_f (kJ/mol of formula units) = 331

---

No. 10
# Th2BiOs

Th2BiOs after structural relaxation (PBE, OQMD via LeMat-Bulk).

Unit cell a=7.875 b=7.875 c=7.875 alpha=31.48 beta=31.48 gamma=31.48
Atoms (fractional coordinates):
Bi  0.500  0.500  0.500
Os  0.000  0.000  0.000
Th  0.266  0.266  0.266
Th  0.734  0.734  0.734

Results
- VASP energy (eV/cell) = -31.940

---

No. 11
# PmErNi

PmErNi after structural relaxation (PBE, OQMD via LeMat-Bulk).

Unit cell a=4.785 b=4.785 c=4.785 alpha=60.00 beta=60.00 gamma=60.00
Atoms (fractional coordinates):
Er  0.250  0.250  0.250
Ni  0.000  0.000  0.000
Pm  0.750  0.750  0.750

Results
- E above lowest polymorph (eV per formula unit) = 0.00
- ΔE_f (kJ/mol of formula units) = -37

---

No. 12
# Li2ZnSiS4

Li2ZnSiS4 after structural relaxation (PBE, OQMD via LeMat-Bulk).

Unit cell a=12.920 b=7.790 c=6.178 alpha=90.00 beta=90.00 gamma=90.00
Atoms (fractional coordinates):
Li  0.161  0.506  0.234
Li  0.661  0.994  0.234
Li  0.922  0.740  0.241
Li  0.422  0.760  0.241
Li  0.339  0.006  0.734
Li  0.839  0.494  0.734
Li  0.578  0.240  0.741
Li  0.078  0.260  0.741
S  0.567  0.244  0.346
S  0.067  0.256  0.346
S  0.335  0.034  0.346
S  0.835  0.466  0.346
S  0.837  0.010  0.353
S  0.337  0.490  0.353
S  0.595  0.737  0.388
S  0.095  0.763  0.388
S  0.933  0.744  0.846
S  0.433  0.756  0.846
S  0.165  0.534  0.846
S  0.665  0.966  0.846
S  0.663  0.510  0.853
S  0.163  0.990  0.853
S  0.905  0.237  0.888
S  0.405  0.263  0.888
Si  0.910  0.237  0.234
Si  0.410  0.263  0.234
Si  0.590  0.737  0.734
Si  0.090  0.763  0.734
Zn  0.160  0.014  0.233
Zn  0.660  0.486  0.233
Zn  0.340  0.514  0.733
Zn  0.840  0.986  0.733

Results
- VASP energy (eV/cell) = -140.720

---

Number 1: volume 160.3 Å³ per cell. Number 2: volume 128.1 Å³ per cell. Number 3: volume 68.5 Å³ per cell. Number 4: volume 244.7 Å³ per cell. Number 5: volume 81.2 Å³ per cell. Number 6: volume 139.0 Å³ per cell. Number 7: volume 73.2 Å³ per cell. Number 8: volume 941.3 Å³ per cell. Number 9: volume 144.3 Å³ per cell. Number 10: volume 118.2 Å³ per cell. Number 11: volume 77.5 Å³ per cell. Number 12: volume 621.8 Å³ per cell.